Below is an optimized crystal structure of RbSi2Pb2, with properties calculated at the PBE-GGA level. Values from VASP.

Results
- Offset from the most stable computed form: 50 meV per atom

The structure in Quantum ESPRESSO input format:
```
&SYSTEM
  ibrav = 0, nat = 5, ntyp = 3
/
ATOMIC_SPECIES
Rb 85.47 Rb.upf
Si 28.09 Si.upf
Pb 207.20 Pb.upf
CELL_PARAMETERS angstrom
-2.2420 2.2420 8.1309
2.2420 -2.2420 8.1309
2.2420 2.2420 -8.1309
ATOMIC_POSITIONS crystal
Rb 0.0000 0.0000 0.0000
Si 0.2500 0.7500 0.5000
Si 0.7500 0.2500 0.5000
Pb 0.3586 0.3586 0.0000
Pb 0.6414 0.6414 0.0000
```


Below is an optimized crystal structure of Rb2SiPb2, with properties calculated at the PBE-GGA level. Values from VASP.

The structure in Quantum ESPRESSO input format:
```
&SYSTEM
  ibrav = 0, nat = 10, ntyp = 3
/
ATOMIC_SPECIES
Rb 85.47 Rb.upf
Si 28.09 Si.upf
Pb 207.20 Pb.upf
CELL_PARAMETERS angstrom
7.6738 0.0000 0.0000
0.0000 7.6738 0.0000
0.0000 0.0000 6.2540
ATOMIC_POSITIONS crystal
Rb 0.1772 0.3228 0.0000
Rb 0.3228 0.8228 0.0000
Rb 0.6772 0.1772 0.0000
Rb 0.8228 0.6772 0.0000
Si 0.0000 0.0000 0.5000
Si 0.5000 0.5000 0.5000
Pb 0.1458 0.6458 0.5000
Pb 0.3542 0.1458 0.5000
Pb 0.6458 0.8542 0.5000
Pb 0.8542 0.3542 0.5000
```


Values for energy relative to the elements, uncorrected, meV/atom, ordered as above
227; 120
Values for theoretical density, g/cm³, ordered as above
5.6; 5.5
Values for energy, eV/atom, ordered as above
-3.619; -2.835